[1]
A relaxed structure of CeMg3Cd4. Source: Alexandria via LeMat-Bulk, functional PBE.

Values from the calculation:
Formation energy   -145 meV/atom
Total DFT energy (no corrections)   -1.94 eV/atom
Space-group type   P4/mmm

The structure in extended XYZ format:
```
16
Lattice="-1.775 2.780 3.597 -6.740 0.776 -3.927 -3.498 -7.967 4.430" Properties=species:S:1:pos:R:3 pbc="T T T"
Cd -4.206 -2.413 3.100
Cd -9.571 -2.600 3.906
Cd -5.967 -3.015 6.006
Cd -2.443 -1.811 0.194
Cd -6.059 1.986 -1.214
Cd -6.047 -1.396 -1.905
Cd -7.809 -1.998 1.001
Cd -2.456 1.571 0.885
Mg -3.511 -4.586 5.121
Mg -5.133 -0.214 0.943
Mg -6.882 -4.197 3.158
Mg -1.762 -0.602 2.906
Mg 0.000 0.000 0.000
Mg -1.749 -3.984 2.215
Ce -5.119 -3.595 0.252
Ce -3.370 0.388 -1.963
```

=====

[2]
A relaxed structure of Ba4InPb3. Source: Alexandria via LeMat-Bulk, functional PBE.

Values from the calculation:
Formation energy   -548 meV/atom
Total DFT energy (no corrections)   -3.24 eV/atom
Space-group type   Pmm2

The structure in extended XYZ format:
```
8
Lattice="-3.224 -3.292 -2.674 3.158 -3.701 0.749 -6.121 -2.986 11.057" Properties=species:S:1:pos:R:3 pbc="T T T"
Ba -2.272 -4.589 3.081
Ba -5.500 -3.543 5.686
Ba -3.714 -4.433 9.936
Ba -0.828 -0.404 1.495
In -0.484 -3.717 -0.148
Pb -7.274 -4.408 8.890
Pb -2.595 -1.266 4.688
Pb -1.950 -3.572 6.748
```

=====

[3]
A relaxed structure of La2ReBr. Source: Alexandria via LeMat-Bulk, functional PBE.

Values from the calculation:
Total DFT energy (no corrections)   -5.63 eV/atom
Offset from the most stable computed form   0.880 eV per atom
Formation energy without anion corrections   0.3622 eV/atom
Space-group type   R3m

The structure in extended XYZ format:
```
4
Lattice="-4.266 -9.487 -0.888 -2.374 -9.392 -3.891 -0.827 -10.372 -0.849" Properties=species:S:1:pos:R:3 pbc="T T T"
Br -5.570 -21.821 -4.199
La -1.777 -6.960 -1.339
La -0.053 -0.209 -0.040
Re -3.800 -14.885 -2.865
```

=====

[4]
A relaxed structure of Li2Ce3Tl4. Source: Alexandria via LeMat-Bulk, functional PBE.

Values from the calculation:
Formation energy   -227 meV/atom
Total DFT energy (no corrections)   -3.68 eV/atom
Space-group type   C2/m

The structure in extended XYZ format:
```
9
Lattice="5.081 0.000 0.000 -2.541 5.093 -2.338 0.000 -1.275 9.474" Properties=species:S:1:pos:R:3 pbc="T T T"
Tl 0.000 1.672 7.499
Tl 0.000 0.212 3.275
Tl 2.541 2.147 -0.363
Tl 2.541 3.606 3.861
Li 0.000 2.888 4.989
Li 2.541 0.930 2.147
Ce 0.000 0.000 0.000
Ce 0.000 3.235 1.669
Ce 2.541 0.583 5.467
```